VASP calculation (PBE) on a relaxed NbTc2MoH crystal.

Cell lengths 4.0223, 4.0223, 4.0455 Å; angles 90.00, 90.00, 90.00 degrees
Fractional positions:
Nb 0.0000 0.0000 0.0000
Tc 0.0000 0.5000 0.5000
Tc 0.5000 0.0000 0.5000
Mo 0.5000 0.5000 0.0000
H 0.0000 0.0000 0.5000

Calculated values
magnetic moment: 0.00 μB per formula unit
energy relative to the lowest polymorph listed for this composition: 4 meV per atom
uncorrected energy: -44.60 eV per cell

***

VASP calculation (PBE) on a relaxed Nb2TcMoH crystal.

Cell lengths 4.5153, 4.5153, 3.4173 Å; angles 90.00, 90.00, 90.00 degrees
Fractional positions:
Nb 0.0000 0.5000 0.0000
Nb 0.5000 0.0000 0.0000
Tc 0.0000 0.0000 0.5000
Mo 0.5000 0.5000 0.5000
H 0.0000 0.0000 0.0000

Calculated values
magnetic moment: 0.00 μB per formula unit
energy relative to the lowest polymorph listed for this composition: 0 meV per atom
uncorrected energy: -45.12 eV per cell

***

VASP calculation (PBE) on a relaxed NbTc2MoH crystal.

Cell lengths 4.0522, 4.0522, 3.9859 Å; angles 90.00, 90.00, 90.00 degrees
Fractional positions:
Nb 0.0000 0.0000 0.0000
Tc 0.0000 0.5000 0.5000
Tc 0.5000 0.0000 0.5000
Mo 0.5000 0.5000 0.0000
H 0.5000 0.5000 0.5000

Calculated values
magnetic moment: 0.00 μB per formula unit
energy relative to the lowest polymorph listed for this composition: 0 meV per atom
uncorrected energy: -44.62 eV per cell

***

VASP calculation (PBE) on a relaxed TiNbMo2H crystal.

Cell lengths 4.7199, 4.7199, 4.9069 Å; angles 90.00, 90.00, 90.00 degrees
Fractional positions:
Ti 0.0000 0.0000 0.0000
Nb 0.0000 0.0000 0.5000
Mo 0.0000 0.5000 0.5000
Mo 0.5000 0.0000 0.5000
H 0.5000 0.5000 0.0000

Calculated values
magnetic moment: 0.00 μB per formula unit
uncorrected energy: -31.96 eV per cell

***

Q: Among the records above, which one has the highest uncorrected energy?
A: TiNbMo2H

***

Q: Look up the uncorrected energy of the fourth one.
A: -31.96 eV per cell